Entry 1:
The following is a DFT calculation (PBE) of crystalline NdPaAgOs at its relaxed geometry.

Summary:
total magnetic moment: 0.000 μB per formula unit
uncorrected energy: -7.04 eV per atom

a b c (Å): 7.1253 7.1253 7.1253
angles (deg): 90.00 90.00 90.00
Space group F-43m (No. 216)
Inequivalent atoms, fractional coordinates:
Nd 0.0000 0.0000 0.0000 (multiplicity 4)
Pa 0.0000 0.0000 0.5000 (multiplicity 4)
Ag 0.2500 0.2500 0.2500 (multiplicity 4)
Os 0.2500 0.2500 0.7500 (multiplicity 4)



Entry 2:
The following is a DFT calculation (PBE) of crystalline KZnSb2 at its relaxed geometry.

Summary:
total magnetic moment: 0.000 μB per formula unit
uncorrected energy: -2.69 eV per atom

a b c (Å): 3.9430 3.9430 7.8056
angles (deg): 90.00 90.00 90.00
Space group P4mm (No. 99)
Inequivalent atoms, fractional coordinates:
K 0.0000 0.0000 0.0000 (multiplicity 1)
Zn 0.5000 0.5000 0.7188 (multiplicity 1)
Sb 0.0000 0.0000 0.5066 (multiplicity 1)
Sb 0.5000 0.5000 0.3330 (multiplicity 1)



Entry 3:
The following is a DFT calculation (PBE) of crystalline InTe4Ir at its relaxed geometry.

Summary:
total magnetic moment: 1.450 μB per formula unit
uncorrected energy: -3.04 eV per atom

a b c (Å): 8.8310 8.8310 8.8310
angles (deg): 90.00 90.00 90.00
Space group F-43m (No. 216)
Inequivalent atoms, fractional coordinates:
In 0.0000 0.0000 0.0000 (multiplicity 4)
Te 0.1232 0.1232 0.3768 (multiplicity 16)
Ir 0.2500 0.2500 0.7500 (multiplicity 4)



Entry 4:
The following is a DFT calculation (PBE) of crystalline BaPtSe2 at its relaxed geometry.

Summary:
excess energy over the best structure of this formula in the dataset: 11.2 meV/atom
total magnetic moment: 0.000 μB per formula unit
uncorrected energy: -4.80 eV per atom

a b c (Å): 3.9673 6.1832 8.6421
angles (deg): 90.00 90.00 90.00
Space group Immm (No. 71)
Inequivalent atoms, fractional coordinates:
Ba 0.0000 0.0000 0.0000 (multiplicity 2)
Pt 0.0000 0.0000 0.5000 (multiplicity 2)
Se 0.0000 0.5000 0.1784 (multiplicity 4)



Entry 5:
The following is a DFT calculation (PBE) of crystalline Dy3Cu3Pd at its relaxed geometry.

Summary:
total magnetic moment: 0.000 μB per formula unit
uncorrected energy: -4.87 eV per atom

a b c (Å): 3.7220 4.2659 18.4158
angles (deg): 90.00 90.00 90.00
Space group Imm2 (No. 44)
Inequivalent atoms, fractional coordinates:
Dy 0.0000 0.0000 0.0000 (multiplicity 2)
Dy 0.0000 0.0000 0.3695 (multiplicity 2)
Dy 0.0000 0.5000 0.1864 (multiplicity 2)
Cu 0.0000 0.0000 0.5451 (multiplicity 2)
Cu 0.0000 0.0000 0.8336 (multiplicity 2)
Cu 0.0000 0.5000 0.6157 (multiplicity 2)
Pd 0.0000 0.5000 0.7513 (multiplicity 2)



Entry 6:
The following is a DFT calculation (PBE) of crystalline Rb2SnSe4 at its relaxed geometry.

Summary:
total magnetic moment: 0.000 μB per formula unit
uncorrected energy: -3.42 eV per atom

a b c (Å): 8.0769 3.9716 8.2559
angles (deg): 90.00 108.75 90.00
Space group Pm (No. 6)
Inequivalent atoms, fractional coordinates:
Rb 0.0000 0.0000 0.0000 (multiplicity 1)
Rb 0.4122 0.0000 0.6374 (multiplicity 1)
Sn 0.7066 0.5000 0.3188 (multiplicity 1)
Se 0.1003 0.5000 0.3928 (multiplicity 1)
Se 0.3115 0.5000 0.2452 (multiplicity 1)
Se 0.6128 0.0000 0.0747 (multiplicity 1)
Se 0.7993 0.0000 0.5630 (multiplicity 1)